# K2Ni3PbF12

A geometry-optimized K2Ni3PbF12 structure (PBE with a Hubbard U, the Alexandria database).

Structure (CIF):
```
data_K2Ni3PbF12
_chemical_formula_sum 'K2 Ni3 Pb1 F12'
_cell_length_a 7.0826
_cell_length_b 7.0826
_cell_length_c 7.0826
_cell_angle_alpha 63.30
_cell_angle_beta 63.30
_cell_angle_gamma 63.30
_symmetry_space_group_name_H-M 'P 1'
_symmetry_Int_Tables_number 1
loop_
_symmetry_equiv_pos_as_xyz
'x,y,z'
loop_
_atom_site_label
_atom_site_type_symbol
_atom_site_fract_x
_atom_site_fract_y
_atom_site_fract_z
K1 K 0.1133 0.1133 0.1133
K2 K 0.8867 0.8867 0.8867
Ni1 Ni 0.0000 0.5000 0.5000
Ni2 Ni 0.5000 0.0000 0.5000
Ni3 Ni 0.5000 0.5000 0.0000
Pb1 Pb 0.5000 0.5000 0.5000
F1 F 0.0719 0.6308 0.6308
F2 F 0.2224 0.2224 0.6090
F3 F 0.2224 0.6090 0.2224
F4 F 0.3692 0.3692 0.9281
F5 F 0.3692 0.9281 0.3692
F6 F 0.3910 0.7776 0.7776
F7 F 0.6090 0.2224 0.2224
F8 F 0.6308 0.0719 0.6308
F9 F 0.6308 0.6308 0.0719
F10 F 0.7776 0.3910 0.7776
F11 F 0.7776 0.7776 0.3910
F12 F 0.9281 0.3692 0.3692
```

## Properties
- Raw total energy: -4.15 eV/atom
- Crystal system: trigonal
- Space-group type: R-3m, No. 166


# KNiPbF6

A geometry-optimized KNiPbF6 structure (PBE with a Hubbard U, the Alexandria database).

Structure (CIF):
```
data_KNiPbF6
_chemical_formula_sum 'K1 Ni1 Pb1 F6'
_cell_length_a 5.5803
_cell_length_b 5.7574
_cell_length_c 5.7608
_cell_angle_alpha 119.51
_cell_angle_beta 90.15
_cell_angle_gamma 90.21
_symmetry_space_group_name_H-M 'P 1'
_symmetry_Int_Tables_number 1
loop_
_symmetry_equiv_pos_as_xyz
'x,y,z'
loop_
_atom_site_label
_atom_site_type_symbol
_atom_site_fract_x
_atom_site_fract_y
_atom_site_fract_z
K1 K 0.0000 0.0000 0.0000
Ni1 Ni 0.5035 0.3326 0.6676
Pb1 Pb 0.4997 0.6670 0.3331
F1 F 0.2970 0.6130 0.9646
F2 F 0.2979 0.0303 0.6480
F3 F 0.2976 0.3496 0.3837
F4 F 0.7083 0.3584 0.9726
F5 F 0.7092 0.0326 0.3902
F6 F 0.7085 0.6136 0.6441
```

## Properties
- Raw total energy: -4.34 eV/atom
- Crystal system: triclinic
- Space-group type: P1, No. 1


Question: Among the records above, which one has the lowest raw total energy?
Answer: KNiPbF6


Question: The lowest raw total energy belongs to which entry?
Answer: KNiPbF6